Entry from Alexandria: an optimized crystal structure of La4PdSeBr2 (GGA-PBE).

ΔE_f (raw) ... -1.35 eV per atom
Crystal system ... monoclinic
Symmetry ... P2/m (10)

Cell: 4.210 7.657 7.692 Å, 71.71 90.00 90.00°
Element x y z (fractional)
La 0.500 0.731 0.259
La 0.000 0.720 0.771
La 0.000 0.280 0.229
La 0.500 0.269 0.741
Pd 0.500 0.500 0.000
Br 0.500 0.000 0.500
Br 0.000 0.000 0.000
Se 0.000 0.500 0.500

---

Entry from Alexandria: an optimized crystal structure of LaPdSe2Br (GGA-PBE).

ΔE_f (raw) ... -0.22 eV per atom
Crystal system ... tetragonal
Symmetry ... P4/mmm (123)
Distance to the lowest polymorph of the same formula ... 3.30 eV per formula unit

Cell: 5.803 5.803 5.769 Å, 90.00 90.00 90.00°
Element x y z (fractional)
Pd 0.500 0.500 0.500
La 0.000 0.000 0.000
Se 0.000 0.500 0.000
Se 0.500 0.000 0.000
Br 0.000 0.000 0.500

---

Entry from Alexandria: an optimized crystal structure of La6Pd2SeBr3 (GGA-PBE).

ΔE_f (raw) ... -1.25 eV per atom
Crystal system ... monoclinic
Symmetry ... C2/m (12)

Cell: 7.493 7.493 7.730 Å, 99.44 99.44 119.38°
Element x y z (fractional)
La 0.419 0.076 0.225
La 0.728 0.728 0.216
La 0.581 0.924 0.775
La 0.924 0.581 0.775
La 0.076 0.419 0.225
La 0.272 0.272 0.784
Pd 0.332 0.668 0.000
Pd 0.668 0.332 0.000
Br 0.500 0.500 0.500
Br 0.158 0.842 0.500
Br 0.842 0.158 0.500
Se 0.000 0.000 0.000

---

For each record above, in turn, the calculated DOS at the Fermi energy values are 0.70, 1.86, 0.72 states/eV per atom.
For each record above, in turn, the calculated calculated density values are 6.4, 4.1, 6.3 Mg/m³.
For each record above, in turn, the calculated total magnetization values are 0.00, 1.68, 0.00 μB per cell.